No. 1
## BaGa2Ag2 (GGA-PBE)

Data for BaGa2Ag2 after structural relaxation.

Summary:
- volume (Å³ per atom) = 23.01
- energy relative to the elements (meV/atom) = -32
- total energy (eV per atom) = -2.77

a b c (Å): 8.470 8.470 3.207
angles (deg): 90.00 90.00 90.00
Fractional coordinates of all 10 atoms:
Ba (0.000, 0.000, 0.000)
Ba (0.500, 0.500, 0.000)
Ga (0.126, 0.374, 0.000)
Ga (0.374, 0.874, 0.000)
Ga (0.626, 0.126, 0.000)
Ga (0.874, 0.626, 0.000)
Ag (0.158, 0.658, 0.500)
Ag (0.342, 0.158, 0.500)
Ag (0.658, 0.842, 0.500)
Ag (0.842, 0.342, 0.500)

---

No. 2
## Pr2Mg3Ir2 (GGA-PBE)

Data for Pr2Mg3Ir2 after structural relaxation.

Summary:
- volume (Å³ per atom) = 23.16
- energy relative to the elements (meV/atom) = -426
- total energy (eV per atom) = -5.01

a b c (Å): 5.699 5.699 7.170
angles (deg): 98.29 98.29 44.81
Fractional coordinates of all 7 atoms:
Pr (0.126, 0.126, 0.366)
Pr (0.874, 0.874, 0.634)
Mg (0.183, 0.183, 0.867)
Mg (0.500, 0.500, 0.000)
Mg (0.817, 0.817, 0.133)
Ir (0.409, 0.409, 0.341)
Ir (0.591, 0.591, 0.659)

---

No. 3
## La6Nd5Tl (GGA-PBE)

Data for La6Nd5Tl after structural relaxation.

Summary:
- volume (Å³ per atom) = 34.94
- energy relative to the elements (meV/atom) = -47
- total energy (eV per atom) = -4.69

a b c (Å): 9.766 9.766 9.766
angles (deg): 149.45 116.00 72.56
Fractional coordinates of all 12 atoms:
La (0.079, 0.837, 0.242)
La (0.243, 0.500, 0.743)
La (0.406, 0.163, 0.242)
La (0.594, 0.837, 0.758)
La (0.757, 0.500, 0.257)
La (0.921, 0.163, 0.758)
Nd (0.170, 0.670, 0.500)
Nd (0.336, 0.336, 0.000)
Nd (0.500, 0.000, 0.500)
Nd (0.664, 0.664, 0.000)
Nd (0.830, 0.330, 0.500)
Tl (0.000, 0.000, 0.000)

---

No. 4
## HfSnMo2 (GGA-PBE)

Data for HfSnMo2 after structural relaxation.

Summary:
- volume (Å³ per atom) = 20.02
- energy relative to the elements (meV/atom) = 800
- total energy (eV per atom) = -8.10

a b c (Å): 6.019 6.019 6.019
angles (deg): 102.93 102.93 123.55
Fractional coordinates of all 8 atoms:
Hf (0.000, 0.000, 0.000)
Hf (0.750, 0.250, 0.500)
Sn (0.250, 0.750, 0.500)
Sn (0.500, 0.500, 0.000)
Mo (0.126, 0.625, 0.001)
Mo (0.375, 0.376, 0.501)
Mo (0.624, 0.125, 0.999)
Mo (0.875, 0.874, 0.499)

---

No. 5
## LaTl2BH (GGA-PBE)

Data for LaTl2BH after structural relaxation.

Summary:
- volume (Å³ per atom) = 32.76
- total energy (eV per atom) = -2.77

a b c (Å): 6.299 6.299 4.129
angles (deg): 90.00 90.00 90.00
Fractional coordinates of all 5 atoms:
La (0.000, 0.000, 0.000)
Tl (0.000, 0.500, 0.000)
Tl (0.500, 0.000, 0.000)
B (0.500, 0.500, 0.500)
H (0.000, 0.000, 0.500)

---

No. 6
## CaHgIN2 (GGA-PBE)

Data for CaHgIN2 after structural relaxation.

Summary:
- volume (Å³ per atom) = 24.34
- uncorrected formation energy (meV per atom) = 1136
- relative energy among the computed polymorphs (kJ/mol of formula units) = 57
- total energy (eV per atom) = -2.97

a b c (Å): 4.425 4.425 6.214
angles (deg): 90.00 90.00 90.00
Fractional coordinates of all 5 atoms:
Ca (0.000, 0.000, 0.000)
Hg (0.500, 0.500, 0.500)
I (0.500, 0.500, 0.000)
N (0.000, 0.500, 0.500)
N (0.500, 0.000, 0.500)